8
Lattice="8.543 0.000 0.000 0.000 2.937 0.000 -1.364 0.000 4.225" Properties=species:S:1:pos:R:3 comment="BeAsOs2 PBE-GGA relaxed" polymorph_energy_mev_per_atom=19.2 delta_e_f_ev_per_atom=0.144 crystal_system=monoclinic magmom_total_mub_per_cell=0.00 sg=Cm pbc="T T T"
Be 0.000 0.000 0.000
Be 4.271 1.468 0.000
As 1.219 0.000 2.807
As 5.491 1.468 2.807
Os 1.894 1.468 0.452
Os 3.551 0.000 2.038
Os 6.165 0.000 0.452
Os 7.822 1.468 2.038